Record 1
This record from the Alexandria database describes a relaxed structure of PmPaBiI. The functional is PBE.

## Properties
Uncorrected formation energy ... -0.3949 eV per atom
Space-group type ... F-43m (216)
Density ... 10.3 g/cm³
N(E_F) ... 6.98 states/eV per cell

Cell lengths 5.455, 5.455, 5.455 Å; angles 60.00, 60.00, 60.00 degrees
Fractional positions:
Pa1 0.250 0.250 0.250
Pm1 0.750 0.750 0.750
I1 0.000 0.000 0.000
Bi1 0.500 0.500 0.500



Record 2
This record from the Alexandria database describes a relaxed structure of Bi2PdI2. The functional is PBE.

## Properties
Uncorrected formation energy ... -0.1647 eV per atom
Space-group type ... C2/m (12)
Density ... 6.3 g/cm³

Cell lengths 8.945, 7.513, 10.784 Å; angles 64.89, 44.53, 53.47 degrees
Fractional positions:
Bi1 0.205 0.000 0.753
Pd1 0.832 0.336 0.000
Bi2 0.318 0.000 0.955
I1 0.482 0.366 0.737
Pd2 0.168 0.664 0.000
I2 0.848 0.634 0.737
I3 0.518 0.634 0.263
Bi3 0.682 0.000 0.045
I4 0.152 0.366 0.263
Bi4 0.795 0.000 0.247